# La4SiAs2Br (GGA-PBE, relaxed)
data_La4SiAs2Br
_chemical_formula_sum 'La4 Si1 As2 Br1'
_symmetry_space_group_name_H-M 'P 1 2/m 1'
_symmetry_Int_Tables_number 10
_symmetry_space_group_name_Hall '-P 2y'
_cell_length_a 7.569
_cell_length_b 4.380
_cell_length_c 7.580
_cell_angle_alpha 90.00
_cell_angle_beta 109.11
_cell_angle_gamma 90.00
loop_
_atom_site_label
_atom_site_type_symbol
_atom_site_fract_x
_atom_site_fract_y
_atom_site_fract_z
La1 La 0.236 0.000 0.232
La2 La 0.247 0.500 0.758
Si1 Si 0.500 0.000 0.000
As1 As 0.000 0.000 0.500
As2 As 0.000 0.500 0.000
Br1 Br 0.500 0.500 0.500
# ΔE_f (raw) in meV/atom: -1368